AlNi2O4: optimized geometry, PBE+U.

Values from the calculation:
excess energy over the best structure of this formula in the dataset: 35.0 kJ per mole of atoms
crystal system: tetragonal
V: 9.1 Å³ per atom
VASP energy: -0.1979 Ha/atom
symmetry: I4_1/a

abc: 6.041 6.041 6.041
angles: 129.75 129.75 73.81
Fractional positions:
Ni: 0.375 0.625 0.250
Al: 0.750 0.250 0.500
Ni: 0.375 0.625 0.750
O: 0.024 0.397 0.998
O: 0.351 0.224 0.498
O: 0.147 0.649 0.873
Ni: 0.875 0.625 0.250
Ni: 0.375 0.125 0.750
O: 0.603 0.601 0.627
Al: 0.000 0.000 0.000
O: 0.399 0.026 0.002
O: 0.974 0.976 0.373
O: 0.726 0.853 0.502
O: 0.776 0.274 0.127